[1]
La3Sn2Hg7: relaxed, PBE.

The structure belongs to space group R-3m (No. 166, hexagonal axes); the cell edges are 6.2105, 6.2105 and 29.2024 Å and the angles 90.00°, 90.00° and 120.00°. The asymmetric unit holds La at (0.0000, 0.0000, 0.0000), La at (0.0000, 0.0000, 0.1415), Sn at (0.0000, 0.0000, 0.3375), Hg at (0.0000, 0.0000, 0.5000) and Hg at (0.0115, 0.5057, 0.9129).

Its total energy is -28.14 eV/f.u.


[2]
La4SnHg: relaxed, PBE.

The structure belongs to space group Pnma (No. 62); the cell edges are 8.6373, 4.6880 and 19.7012 Å and the angles 90.00°, 90.00° and 90.00°. The asymmetric unit holds La at (0.0094, 0.2500, 0.0715), La at (0.0319, 0.7500, 0.2238), La at (0.1209, 0.7500, 0.6546), La at (0.1614, 0.7500, 0.4333), Sn at (0.2453, 0.2500, 0.3093) and Hg at (0.2324, 0.2500, 0.5509).

Its total energy is -26.80 eV/f.u.


[3]
La8SnHg2: relaxed, PBE.

The structure belongs to space group C2/m (No. 12); the cell edges are 18.1401, 5.1361 and 8.4893 Å and the angles 90.00°, 114.73° and 90.00°. The asymmetric unit holds La at (0.0400, 0.0000, 0.2572), La at (0.0905, 0.5000, 0.9549), La at (0.1682, 0.0000, 0.7530), La at (0.1767, 0.5000, 0.4514), Sn at (0.0000, 0.5000, 0.5000) and Hg at (0.1976, 0.0000, 0.1584).

Its total energy is -47.61 eV/f.u.


[4]
La2SnHg: relaxed, PBE.

The structure belongs to space group Immm (No. 71); the cell edges are 3.5124, 5.8109 and 13.0347 Å and the angles 90.00°, 90.00° and 90.00°. The asymmetric unit holds La at (0.0000, 0.0000, 0.2428), Sn at (0.0000, 0.0000, 0.5000) and Hg at (0.0000, 0.0000, 0.0000).

Its total energy is -13.61 eV/f.u.


[5]
LaSn2Hg: relaxed, PBE.

The structure belongs to space group I-42d (No. 122); the cell edges are 4.8473, 4.8473 and 21.3655 Å and the angles 90.00°, 90.00° and 90.00°. The asymmetric unit holds La at (0.0000, 0.0000, 0.0000), Sn at (0.1941, 0.2500, 0.6250) and Hg at (0.0000, 0.0000, 0.5000).

Its total energy is -14.28 eV/f.u.


[6]
LaSn4Hg: relaxed, PBE.

The structure belongs to space group Cmcm (No. 63); the cell edges are 6.7359, 21.6686 and 4.6415 Å and the angles 90.00°, 90.00° and 90.00°. The asymmetric unit holds La at (0.0000, 0.1335, 0.2500), Sn at (0.2168, 0.2918, 0.2500), Sn at (0.2440, 0.4560, 0.2500) and Hg at (0.0000, 0.3812, 0.7500).

Its total energy is -23.22 eV/f.u.


[7]
LaSnHg2: relaxed, PBE.

The structure belongs to space group P4/mmm (No. 123); the cell edges are 4.6823, 4.6823 and 4.9343 Å and the angles 90.00°, 90.00° and 90.00°. The asymmetric unit holds La at (0.0000, 0.0000, 0.0000), Sn at (0.5000, 0.5000, 0.0000) and Hg at (0.0000, 0.5000, 0.5000).

Its total energy is -11.46 eV/f.u.


[8]
La14SnHg: relaxed, PBE.

The structure belongs to space group P4/mmm (No. 123); the cell edges are 7.1915, 7.1915 and 10.5367 Å and the angles 90.00°, 90.00° and 90.00°. The asymmetric unit holds La at (0.0000, 0.0000, 0.0000), La at (0.0000, 0.5000, 0.0000), La at (0.0000, 0.5000, 0.5000), La at (0.2482, 0.2482, 0.2585), La at (0.5000, 0.5000, 0.0000), Sn at (0.0000, 0.0000, 0.5000) and Hg at (0.5000, 0.5000, 0.5000).

Its total energy is -75.78 eV/f.u.


[9]
La2SnHg: relaxed, PBE.

The structure belongs to space group Fm-3m (No. 225); the cell edges are 7.8589, 7.8589 and 7.8589 Å and the angles 90.00°, 90.00° and 90.00°. The asymmetric unit holds La at (0.2500, 0.2500, 0.2500), Sn at (0.0000, 0.0000, 0.0000) and Hg at (0.0000, 0.0000, 0.5000).

Its total energy is -16.74 eV/f.u.


[10]
LaSnHg2: relaxed, PBE.

The structure belongs to space group R-3m (No. 166, hexagonal axes); the cell edges are 4.9530, 4.9530 and 15.5820 Å and the angles 90.00°, 90.00° and 120.00°. The asymmetric unit holds La at (0.0000, 0.0000, 0.0000), Sn at (0.0000, 0.0000, 0.5000) and Hg at (0.0000, 0.0000, 0.2377).

Its total energy is -11.31 eV/f.u.


[11]
La3SnHg: relaxed, PBE.

The structure belongs to space group C2/c (No. 15); the cell edges are 12.4040, 11.6506 and 9.2698 Å and the angles 90.00°, 90.00° and 90.00°. The asymmetric unit holds La at (0.0857, 0.1085, 0.4171), La at (0.0867, 0.3919, 0.5828), La at (0.2501, 0.1822, 0.8276), Sn at (0.0000, 0.1440, 0.7500), Sn at (0.0000, 0.3566, 0.2500) and Hg at (0.2490, 0.0451, 0.1313).

Its total energy is -21.41 eV/f.u.


[12]
La4SnHg: relaxed, PBE.

The structure belongs to space group C2/m (No. 12); the cell edges are 9.2513, 5.3541 and 9.3769 Å and the angles 90.00°, 109.06° and 90.00°. The asymmetric unit holds La at (0.1228, 0.0000, 0.3687), La at (0.1256, 0.5000, 0.8768), Sn at (0.0000, 0.5000, 0.5000) and Hg at (0.0000, 0.0000, 0.0000).

Its total energy is -25.89 eV/f.u.